VASP calculation (PBE) on a relaxed structure of InGeI2F.

Properties
The distance to the lowest polymorph of the same formula is 0.670 eV per atom.

a = 6.0542 Å, b = 6.0542 Å, c = 4.2634 Å
α = 90.00°, β = 90.00°, γ = 90.00°
Closest atoms and distances in Å follow each position.
Fractional coordinates of all 5 atoms:
In  0.0000  0.0000  0.0000  2 F 2.13
Ge  0.5000  0.5000  0.0000  8 I 3.70
I  0.0000  0.5000  0.5000  2 F 3.03
I  0.5000  0.0000  0.5000  2 F 3.03
F  0.0000  0.0000  0.5000  2 In 2.13

VASP calculation (PBE) on a relaxed structure of K3GeI2F6.

Properties
The final energy comes out at -4.05 eV per atom.

a = 7.9325 Å, b = 7.9325 Å, c = 6.4038 Å
α = 90.07°, β = 90.07°, γ = 49.64°
Closest atoms and distances in Å follow each position.
Fractional coordinates of all 12 atoms:
K  0.0000  0.0000  0.0000  4 F 2.87
K  0.0000  0.5000  0.5000  2 F 2.54
K  0.5000  0.0000  0.5000  2 F 2.54
Ge  0.5000  0.5000  0.5000  6 F 1.84-1.86
I  0.2438  0.2438  0.0122  1 F 3.32, 2 I 3.34, 5 K 3.51-3.68
I  0.7562  0.7562  0.9878  1 F 3.32, 2 I 3.34, 5 K 3.51-3.68
F  0.2728  0.6673  0.3113  1 Ge 1.84
F  0.3327  0.7272  0.6887  1 Ge 1.84
F  0.3773  0.3773  0.5900  1 Ge 1.86
F  0.6227  0.6227  0.4100  1 Ge 1.86
F  0.6673  0.2728  0.3113  1 Ge 1.84
F  0.7272  0.3327  0.6887  1 Ge 1.84

VASP calculation (PBE) on a relaxed structure of K2GeIF.

Properties
The final energy comes out at -2.99 eV per atom.

a = 4.8711 Å, b = 4.8711 Å, c = 6.5841 Å
α = 90.00°, β = 90.00°, γ = 90.00°
Closest atoms and distances in Å follow each position.
Fractional coordinates of all 5 atoms:
K  0.0000  0.5000  0.0000  2 F 2.44
K  0.5000  0.0000  0.0000  2 F 2.44
Ge  0.0000  0.0000  0.5000  4 I 3.44
I  0.5000  0.5000  0.5000  2 F 3.29, 4 Ge 3.44
F  0.5000  0.5000  0.0000  4 K 2.44

Number 1: DOS at the Fermi energy 3.4 states/eV per cell. Number 2: DOS at the Fermi energy 1.9 states/eV per cell. Number 3: DOS at the Fermi energy 1.9 states/eV per cell.